10
Lattice="-1.766 1.487 -3.483 1.665 -3.147 -2.187 -7.660 -5.206 1.660" Properties=species:S:1:pos:R:3 comment="PBE Nd2Ni4As3P, relaxed" delta_e_f_ev_per_atom=-0.864 e_tot_ev_per_cell=-60.66 pbc="T T T"
Nd -2.821 -0.574 -1.322
Nd -4.889 -5.462 0.146
Ni -0.050 -0.830 -2.835
Ni 0.000 0.000 0.000
Ni -5.570 -2.442 -0.726
Ni -2.140 -3.594 -0.449
As -3.830 -2.603 0.830
As -7.539 -3.780 -0.299
As -0.172 -2.256 -0.876
P -3.880 -3.433 -2.005